1.
The following is a GGA-PBE calculation of a geometry-optimized KTeAu structure, from Alexandria.

The structure in POSCAR format:
```
KTeAu
1.0
4.753 0.000 0.000
-2.376 4.116 0.000
0.000 0.000 9.996
K Te Au
2 2 2
Direct
0.000 0.000 0.000 K
0.000 0.000 0.500 K
0.333 0.667 0.250 Te
0.667 0.333 0.750 Te
0.333 0.667 0.750 Au
0.667 0.333 0.250 Au
```

Results
E_form (uncorrected)   -0.682 eV per atom
Size of the total moment   0.0 μB per cell
SG   No. 194
DFT total energy   -0.23430 Ry/atom

2.
The following is a GGA-PBE calculation of a geometry-optimized K2TeAu structure, from Alexandria.

The structure in POSCAR format:
```
K2TeAu
1.0
2.161 1.248 9.494
-2.161 1.248 9.494
0.000 -2.495 9.494
K Te Au
2 1 1
Direct
0.243 0.243 0.243 K
0.757 0.757 0.757 K
0.000 0.000 0.000 Te
0.500 0.500 0.500 Au
```

Results
E_form (uncorrected)   -0.369 eV per atom
Size of the total moment   0.2 μB per cell
SG   No. 166
DFT total energy   -0.18538 Ry/atom

3.
The following is a GGA-PBE calculation of a geometry-optimized K2TeAu2 structure, from Alexandria.

The structure in POSCAR format:
```
K2TeAu2
1.0
-2.435 2.435 6.777
2.435 -2.435 6.777
2.435 2.435 -6.777
K Te Au
2 1 2
Direct
0.250 0.750 0.500 K
0.750 0.250 0.500 K
0.000 0.000 0.000 Te
0.402 0.402 0.000 Au
0.598 0.598 0.000 Au
```

Results
E_form (uncorrected)   0.098 eV per atom
Size of the total moment   0.0 μB per cell
SG   No. 139
ΔE to the lowest computed polymorph   0.5399 eV per atom
DFT total energy   -0.16760 Ry/atom

4.
The following is a GGA-PBE calculation of a geometry-optimized K2TeAu structure, from Alexandria.

The structure in POSCAR format:
```
K2TeAu
1.0
0.000 3.965 3.965
3.965 0.000 3.965
3.965 3.965 0.000
K Te Au
2 1 1
Direct
0.000 0.000 0.000 K
0.250 0.250 0.250 K
0.500 0.500 0.500 Te
0.750 0.750 0.750 Au
```

Results
E_form (uncorrected)   -0.413 eV per atom
Size of the total moment   0.0 μB per cell
SG   No. 216
DFT total energy   -0.18862 Ry/atom